The following is a GGA-PBE calculation of an optimized crystal structure of Sc2CoGe, from the Alexandria database.

The structure in POSCAR format:
```
Sc2CoGe
1.0
4.4154 0.0000 0.0000
0.0000 4.4154 0.0000
0.0000 0.0000 3.4720
Sc Co Ge
2 1 1
direct
0.0000 0.5000 0.0000
0.5000 0.0000 0.0000
0.0000 0.0000 0.5000
0.5000 0.5000 0.5000
```

Values from the calculation:
- Energy of formation: -511.0 meV per atom
- Symmetry: P4/mmm
- N(E_F): 2.0 states/eV per cell
- Spin magnetization: 0.15 μB per cell